Below is CrNi3P4O16 after structural relaxation, with properties calculated at the PBE+U level.

Output
Total energy = -156.72 eV per cell

Lattice parameters (Å, degrees): 4.803 5.753 9.887 90.00 90.03 90.00
Space group Pm (No. 6)
Inequivalent atoms, fractional coordinates:
Cr 0.000 0.000 0.000
Ni 0.391 0.000 0.501
Ni 0.512 0.500 0.955
Ni 0.891 0.500 0.454
P 0.054 0.500 0.139
P 0.335 0.500 0.636
P 0.573 0.000 0.820
P 0.835 0.000 0.320
O 0.129 0.500 0.289
O 0.151 0.000 0.339
O 0.185 0.291 0.564
O 0.198 0.288 0.064
O 0.260 0.000 0.850
O 0.280 0.500 0.788
O 0.625 0.000 0.668
O 0.651 0.500 0.615
O 0.685 0.209 0.391
O 0.729 0.206 0.894
O 0.740 0.500 0.120
O 0.780 0.000 0.166